# 1
Computed, not measured: a geometry-optimized LiBeSe structure at the GGA-PBE level of DFT.

a b c (Å): 4.1479 4.1479 4.1479
angles (deg): 60.00 60.00 60.00
Site moments in Bohr magnetons follow the coordinates.
Element x y z (fractional)
1 Be 0.0000 0.0000 0.0000  0.10
2 Li 0.5000 0.5000 0.5000  0.02
3 Se 0.7500 0.7500 0.7500  0.04

As for the space-group type: F-43m, No. 216. The calculation puts the size of the total moment at 0.4 μB/f.u. Its energy relative to the lowest polymorph listed for this composition is 0.257 eV per atom. The calculation puts the uncorrected formation energy at -0.092 eV/atom. The final energy comes out at -9.4 eV for the cell shown.

=====

# 2
Computed, not measured: a geometry-optimized Tm5MgNi4 structure at the GGA-PBE level of DFT.

a b c (Å): 3.3577 3.3577 17.7849
angles (deg): 90.00 90.00 90.00
Element x y z (fractional)
1 Tm 0.5000 0.5000 0.1316
2 Tm 0.5000 0.5000 0.3142
3 Tm 0.5000 0.5000 0.5000
4 Tm 0.5000 0.5000 0.6858
5 Tm 0.5000 0.5000 0.8684
6 Mg 0.0000 0.0000 0.0000
7 Ni 0.0000 0.0000 0.2185
8 Ni 0.0000 0.0000 0.4067
9 Ni 0.0000 0.0000 0.5933
10 Ni 0.0000 0.0000 0.7815

As for the space-group type: P4/mmm, No. 123. The calculation puts the size of the total moment at 0.0 μB/f.u. The final energy comes out at -50.8 eV for the cell shown. The value obtained for the energy relative to the elements is -377 meV per atom.

=====

# 3
Computed, not measured: a geometry-optimized Ba5SrLi6 structure at the GGA-PBE level of DFT.

a b c (Å): 6.1891 8.8386 9.7613
angles (deg): 90.00 71.42 90.01
Element x y z (fractional)
1 Sr 0.0000 0.0000 0.0000
2 Ba 0.6680 0.5000 0.6635
3 Ba 0.3332 0.0000 0.3338
4 Ba 0.0000 0.5000 0.0000
5 Ba 0.6668 0.0000 0.6662
6 Ba 0.3320 0.5000 0.3365
7 Li 0.8367 0.7542 0.3266
8 Li 0.8368 0.2458 0.3266
9 Li 0.4999 0.2409 0.0000
10 Li 0.5001 0.7591 0.0000
11 Li 0.1632 0.7542 0.6734
12 Li 0.1633 0.2458 0.6734

As for the space-group type: P2/m, No. 10. The calculation puts the size of the total moment at 0.0 μB/f.u. The final energy comes out at -22.3 eV for the cell shown. The value obtained for the energy relative to the elements is 43 meV per atom.

=====

# 4
Computed, not measured: a geometry-optimized ErZn2Ni3 structure at the GGA-PBE level of DFT.

a b c (Å): 5.1529 5.9921 5.9921
angles (deg): 76.91 90.00 90.00
Element x y z (fractional)
1 Er 0.7500 0.3326 0.6674
2 Er 0.2500 0.6674 0.3326
3 Zn 0.0000 0.7788 0.7788
4 Zn 0.5000 0.7788 0.7788
5 Zn 0.0000 0.2212 0.2212
6 Zn 0.5000 0.2212 0.2212
7 Ni 0.2500 0.0252 0.9748
8 Ni 0.2500 0.4254 0.8438
9 Ni 0.7500 0.8438 0.4254
10 Ni 0.2500 0.1562 0.5746
11 Ni 0.7500 0.5746 0.1562
12 Ni 0.7500 0.9748 0.0252

As for the space-group type: Cmcm, No. 63. The calculation puts the size of the total moment at 0.0 μB/f.u. The final energy comes out at -52.3 eV for the cell shown. The value obtained for the energy relative to the elements is -283 meV per atom.

=====

# 5
Computed, not measured: a geometry-optimized Li2Ac3S2O4 structure at the GGA-PBE level of DFT.

a b c (Å): 4.1182 4.1182 11.3647
angles (deg): 100.44 100.44 90.00
Element x y z (fractional)
1 Li 0.4147 0.4147 0.8293
2 Li 0.5853 0.5853 0.1707
3 Ac 0.0000 0.0000 0.0000
4 Ac 0.1559 0.1559 0.3118
5 Ac 0.8441 0.8441 0.6882
6 S 0.2982 0.2982 0.5964
7 S 0.7018 0.7018 0.4036
8 O 0.4234 0.9234 0.8468
9 O 0.9234 0.4234 0.8468
10 O 0.0766 0.5766 0.1532
11 O 0.5766 0.0766 0.1532

As for the space-group type: I4/mmm, No. 139. The calculation puts the size of the total moment at 0.0 μB/f.u. The calculation puts the uncorrected formation energy at -2.424 eV/atom. The final energy comes out at -70.9 eV for the cell shown.

=====

# 6
Computed, not measured: a geometry-optimized Sr2InAu10 structure at the GGA-PBE level of DFT.

a b c (Å): 6.2670 6.0119 15.1678
angles (deg): 90.00 88.91 89.99
Element x y z (fractional)
1 Sr 0.3953 0.3138 0.8417
2 Sr 0.6047 0.6862 0.1583
3 Sr 0.6047 0.8137 0.6583
4 Sr 0.3953 0.1863 0.3417
5 In 0.0000 0.5000 0.5000
6 In 0.0000 0.0000 0.0000
7 Au 0.7864 0.0908 0.4950
8 Au 0.2136 0.9092 0.5050
9 Au 0.7864 0.4092 0.9949
10 Au 0.2136 0.5908 0.0051
11 Au 0.1510 0.0725 0.6782
12 Au 0.8490 0.9275 0.3218
13 Au 0.4087 0.1737 0.0566
14 Au 0.2426 0.8139 0.8330
15 Au 0.5913 0.6737 0.4435
16 Au 0.7574 0.3138 0.6670
17 Au 0.5913 0.8263 0.9434
18 Au 0.7574 0.1861 0.1670
19 Au 0.4087 0.3263 0.5565
20 Au 0.2426 0.6862 0.3330
21 Au 0.1392 0.9136 0.1738
22 Au 0.8608 0.0864 0.8262
23 Au 0.8609 0.4136 0.3262
24 Au 0.1391 0.5864 0.6738
25 Au 0.1509 0.4274 0.1782
26 Au 0.8491 0.5726 0.8218

As for the space-group type: P2_1/c, No. 14. The calculation puts the size of the total moment at 0.0 μB/f.u. The final energy comes out at -87.5 eV for the cell shown. The value obtained for the energy relative to the elements is -376 meV per atom.

=====

# 7
Computed, not measured: a geometry-optimized Ba3Np2ScO9 structure at the GGA-PBE level of DFT.

a b c (Å): 6.1083 6.1083 7.5143
angles (deg): 90.00 90.00 120.00
Site moments in Bohr magnetons follow the coordinates.
Element x y z (fractional)
1 Ba 0.3333 0.6667 0.6563  0.01
2 Ba 0.0000 0.0000 0.0000  0.02
3 Ba 0.6667 0.3333 0.3437  0.01
4 Np 0.3333 0.6667 0.1735  2.64
5 Np 0.6667 0.3333 0.8265  2.64
6 Sc 0.0000 0.0000 0.5000  0.01
7 O 0.8348 0.1652 0.6639  -0.04
8 O 0.8348 0.6696 0.6639  -0.04
9 O 0.3304 0.1652 0.6639  -0.04
10 O 0.6696 0.8348 0.3361  -0.04
11 O 0.1652 0.3304 0.3361  -0.04
12 O 0.1652 0.8348 0.3361  -0.04
13 O 0.5000 0.0000 0.0000  -0.07
14 O 0.0000 0.5000 0.0000  -0.07
15 O 0.5000 0.5000 0.0000  -0.07

As for the space-group type: P-3m1, No. 164. The calculation puts the size of the total moment at 5.0 μB/f.u. The calculation puts the uncorrected formation energy at -3.074 eV/atom. The final energy comes out at -128.7 eV for the cell shown.

=====

# 8
Computed, not measured: a geometry-optimized Zr4SbRh structure at the GGA-PBE level of DFT.

a b c (Å): 5.6489 5.6489 5.6489
angles (deg): 60.00 60.00 60.00
Element x y z (fractional)
1 Zr 0.8750 0.3750 0.3750
2 Zr 0.3750 0.3750 0.8750
3 Zr 0.3750 0.8750 0.3750
4 Zr 0.3750 0.3750 0.3750
5 Sb 0.0000 0.0000 0.0000
6 Rh 0.7500 0.7500 0.7500

As for the space-group type: F-43m, No. 216. The calculation puts the size of the total moment at 0.0 μB/f.u. The calculation puts the uncorrected formation energy at 0.143 eV/atom. The final energy comes out at -44.8 eV for the cell shown.

=====

# 9
Computed, not measured: a geometry-optimized PaTiAs3 structure at the GGA-PBE level of DFT.

a b c (Å): 5.7640 5.8167 12.0860
angles (deg): 90.00 90.00 90.00
Element x y z (fractional)
1 Pa 0.7500 0.4936 0.6816
2 Pa 0.2500 0.5064 0.3184
3 Pa 0.7500 0.9936 0.3184
4 Pa 0.2500 0.0064 0.6816
5 Ti 0.5000 0.2500 0.0816
6 Ti 0.0000 0.7500 0.9184
7 Ti 0.5000 0.7500 0.9184
8 Ti 0.0000 0.2500 0.0816
9 As 0.0000 0.2500 0.4985
10 As 0.5000 0.7500 0.5015
11 As 0.0000 0.7500 0.5015
12 As 0.5000 0.2500 0.4985
13 As 0.2500 0.1095 0.9192
14 As 0.7500 0.8905 0.0808
15 As 0.2500 0.6095 0.0808
16 As 0.7500 0.3905 0.9192
17 As 0.2500 0.5172 0.7581
18 As 0.7500 0.4828 0.2419
19 As 0.2500 0.0172 0.2419
20 As 0.7500 0.9828 0.7581

As for the space-group type: Pbcm, No. 57. The calculation puts the size of the total moment at 0.0 μB/f.u. The final energy comes out at -141.5 eV for the cell shown. The value obtained for the energy relative to the elements is -806 meV per atom.

=====

# 10
Computed, not measured: a geometry-optimized LaTb2Sn structure at the GGA-PBE level of DFT.

a b c (Å): 4.8143 4.9400 4.9400
angles (deg): 90.00 90.00 90.00
Element x y z (fractional)
1 Tb 0.0000 0.0000 0.5000
2 Tb 0.0000 0.5000 0.0000
3 Sn 0.5000 0.0000 0.0000
4 La 0.5000 0.5000 0.5000

As for the space-group type: P4/mmm, No. 123. The calculation puts the size of the total moment at 0.0 μB/f.u. Its energy relative to the lowest polymorph listed for this composition is 0.001 eV per atom. The final energy comes out at -19.9 eV for the cell shown. The value obtained for the energy relative to the elements is -431 meV per atom.

=====

# 11
Computed, not measured: a geometry-optimized RbBeTlPd structure at the GGA-PBE level of DFT.

a b c (Å): 5.4861 3.6441 6.1666
angles (deg): 90.00 102.77 90.00
Element x y z (fractional)
1 Be 0.0144 0.5000 0.1114
2 Tl 0.2878 0.0000 0.9504
3 Rb 0.6565 0.5000 0.5355
4 Pd 0.8006 0.0000 0.0576

As for the space-group type: Pm, No. 6. The calculation puts the size of the total moment at 0.0 μB/f.u. Its energy relative to the lowest polymorph listed for this composition is 0.115 eV per atom. The final energy comes out at -11.7 eV for the cell shown. The value obtained for the energy relative to the elements is 133 meV per atom.

=====

# 12
Computed, not measured: a geometry-optimized ErTmZr2As4 structure at the GGA-PBE level of DFT.

a b c (Å): 3.9407 6.8323 6.9225
angles (deg): 109.27 90.00 90.00
Element x y z (fractional)
1 Er 0.5000 0.5000 0.0000
2 Tm 0.0000 0.0000 0.0000
3 Zr 0.5000 0.0000 0.5000
4 Zr 0.0000 0.5000 0.5000
5 As 0.5000 0.2525 0.2592
6 As 0.5000 0.7475 0.7408
7 As 0.0000 0.2462 0.7404
8 As 0.0000 0.7538 0.2596

As for the space-group type: P2/m, No. 10. The calculation puts the size of the total moment at 0.0 μB/f.u. The final energy comes out at -55.2 eV for the cell shown. The value obtained for the energy relative to the elements is -1304 meV per atom.